1.
The following is a PBE-GGA calculation of Pm8Ho5Pu after structural relaxation, from the Alexandria database.

abc: 8.4982 8.4982 9.3756
angles: 121.99 121.99 63.28
Sites, in units of the cell vectors:
Pm  0.0344  0.0344  0.3623
Pm  0.0961  0.4076  0.8211
Pm  0.2350  0.3976  0.2869
Pm  0.4762  0.1267  0.5720
Pm  0.5924  0.9039  0.1789
Pm  0.6024  0.7650  0.7131
Pm  0.8733  0.5238  0.4280
Pm  0.9656  0.9656  0.6377
Ho  0.0393  0.9607  0.0000
Ho  0.3281  0.6005  0.7739
Ho  0.3995  0.6719  0.2261
Ho  0.5831  0.2155  0.0450
Ho  0.7845  0.4169  0.9550
Pu  0.6817  0.3183  0.5000

Output
Calculated formation energy = 218.7 meV per atom
VASP energy = -5.155 eV/atom
Density = 7.82 g/cm3
V = 33.8 Å³ per atom



2.
The following is a PBE-GGA calculation of Li7Ga2Ag2 after structural relaxation, from the Alexandria database.

abc: 5.7537 5.7537 6.7669
angles: 90.00 90.00 106.09
Sites, in units of the cell vectors:
Li  0.0000  0.0000  0.0000
Li  0.0000  0.5000  0.2869
Li  0.0000  0.5000  0.7131
Li  0.5000  0.0000  0.2869
Li  0.5000  0.0000  0.7131
Li  0.5000  0.5000  0.3169
Li  0.5000  0.5000  0.6831
Ga  0.1705  0.1705  0.5000
Ga  0.8295  0.8295  0.5000
Ag  0.3362  0.6638  0.0000
Ag  0.6638  0.3362  0.0000

Output
Calculated formation energy = -46.9 meV per atom
VASP energy = -2.334 eV/atom
Density = 3.11 g/cm3
V = 19.6 Å³ per atom



3.
The following is a PBE-GGA calculation of LiVTePt2 after structural relaxation, from the Alexandria database.

abc: 5.0020 5.0020 4.8969
angles: 90.00 90.00 90.00
Sites, in units of the cell vectors:
Li  0.0000  0.0000  0.0000
V  0.5000  0.5000  0.0000
Te  0.5000  0.5000  0.5000
Pt  0.0000  0.5000  0.5000
Pt  0.5000  0.0000  0.5000

Output
VASP energy = -4.518 eV/atom
Density = 7.80 g/cm3
V = 24.5 Å³ per atom
ΔE_f (raw) = 0.73 eV/atom



4.
The following is a PBE-GGA calculation of AcGa2Cu8 after structural relaxation, from the Alexandria database.

abc: 6.3785 6.3785 4.7747
angles: 90.00 90.00 90.00
Sites, in units of the cell vectors:
Ac  0.0000  0.0000  0.0000
Ga  0.0000  0.5000  0.5000
Ga  0.5000  0.0000  0.5000
Cu  0.3102  0.3102  0.2509
Cu  0.3102  0.3102  0.7491
Cu  0.3102  0.6898  0.2509
Cu  0.3102  0.6898  0.7491
Cu  0.6898  0.3102  0.2509
Cu  0.6898  0.3102  0.7491
Cu  0.6898  0.6898  0.2509
Cu  0.6898  0.6898  0.7491

Output
Calculated formation energy = 145.5 meV per atom
VASP energy = -3.757 eV/atom
Density = 7.48 g/cm3
V = 17.7 Å³ per atom



5.
The following is a PBE-GGA calculation of Sr7La after structural relaxation, from the Alexandria database.

abc: 8.3692 8.3692 8.3692
angles: 60.00 60.00 60.00
Sites, in units of the cell vectors:
Sr  0.0000  0.0000  0.0000
Sr  0.0000  0.0000  0.5000
Sr  0.0000  0.5000  0.0000
Sr  0.0000  0.5000  0.5000
Sr  0.5000  0.0000  0.0000
Sr  0.5000  0.0000  0.5000
Sr  0.5000  0.5000  0.0000
La  0.5000  0.5000  0.5000

Output
Calculated formation energy = 82.3 meV per atom
VASP energy = -2.005 eV/atom
Density = 3.01 g/cm3
V = 51.8 Å³ per atom



6.
The following is a PBE-GGA calculation of KBeSeN2 after structural relaxation, from the Alexandria database.

abc: 4.7347 4.7347 6.4559
angles: 90.00 90.00 90.00
Sites, in units of the cell vectors:
K  0.0000  0.0000  0.0000
Be  0.5000  0.5000  0.5000
Se  0.0000  0.0000  0.5000
N  0.0000  0.5000  0.0000
N  0.5000  0.0000  0.0000

Output
VASP energy = -2.505 eV/atom
Density = 1.78 g/cm3
V = 28.9 Å³ per atom
ΔE_f (raw) = 2.49 eV/atom



7.
The following is a PBE-GGA calculation of Ag2Bi2Pd after structural relaxation, from the Alexandria database.

abc: 7.4209 7.4209 4.4056
angles: 90.00 90.00 90.00
Sites, in units of the cell vectors:
Ag  0.1401  0.3599  0.0000
Ag  0.3599  0.8599  0.0000
Ag  0.6401  0.1401  0.0000
Ag  0.8599  0.6401  0.0000
Bi  0.1621  0.6621  0.5000
Bi  0.3379  0.1621  0.5000
Bi  0.6621  0.8379  0.5000
Bi  0.8379  0.3379  0.5000
Pd  0.0000  0.0000  0.5000
Pd  0.5000  0.5000  0.5000

Output
Calculated formation energy = 113.1 meV per atom
VASP energy = -3.618 eV/atom
Density = 10.13 g/cm3
V = 24.3 Å³ per atom



8.
The following is a PBE-GGA calculation of Tc2Os after structural relaxation, from the Alexandria database.

abc: 11.9381 11.9381 11.9381
angles: 161.33 161.33 26.53
Sites, in units of the cell vectors:
Tc  0.1254  0.3754  0.7500
Tc  0.2916  0.5416  0.7500
Tc  0.3754  0.1254  0.2500
Tc  0.4584  0.7084  0.7500
Tc  0.5416  0.2916  0.2500
Tc  0.6246  0.8746  0.7500
Tc  0.7084  0.4584  0.2500
Tc  0.8746  0.6246  0.2500
Os  0.0410  0.7910  0.2500
Os  0.2090  0.9590  0.2500
Os  0.7910  0.0410  0.7500
Os  0.9590  0.2090  0.7500

Output
Calculated formation energy = 60.4 meV per atom
VASP energy = -10.593 eV/atom
Density = 14.72 g/cm3
V = 14.5 Å³ per atom



9.
The following is a PBE-GGA calculation of MgIn2H2 after structural relaxation, from the Alexandria database.

abc: 5.8718 5.8718 5.0993
angles: 90.00 90.00 90.00
Sites, in units of the cell vectors:
Mg  0.0000  0.0000  0.0000
Mg  0.5000  0.5000  0.0000
In  0.1962  0.3038  0.5000
In  0.3038  0.8038  0.5000
In  0.6962  0.1962  0.5000
In  0.8038  0.6962  0.5000
H  0.2224  0.2776  0.0000
H  0.2776  0.7776  0.0000
H  0.7224  0.2224  0.0000
H  0.7776  0.7224  0.0000

Output
VASP energy = -2.587 eV/atom
Density = 4.83 g/cm3
V = 17.6 Å³ per atom



10.
The following is a PBE-GGA calculation of Sc2OsBr after structural relaxation, from the Alexandria database.

abc: 4.8045 4.8045 4.8045
angles: 126.22 113.92 90.21
Sites, in units of the cell vectors:
Sc  0.2415  0.2415  0.0000
Sc  0.7585  0.7585  0.0000
Os  0.0000  0.5000  0.5000
Br  0.5000  0.0000  0.5000

Output
VASP energy = -6.521 eV/atom
Density = 7.74 g/cm3
V = 19.3 Å³ per atom
ΔE_f (raw) = -0.13 eV/atom



11.
The following is a PBE-GGA calculation of CeDy3Tm2 after structural relaxation, from the Alexandria database.

abc: 7.9943 7.9943 6.2414
angles: 90.00 90.00 109.11
Sites, in units of the cell vectors:
Ce  0.1741  0.8259  0.5000
Ce  0.8259  0.1741  0.0000
Dy  0.0803  0.9197  0.0302
Dy  0.1228  0.5137  0.8241
Dy  0.4863  0.8772  0.8241
Dy  0.5137  0.1228  0.3241
Dy  0.8772  0.4863  0.3241
Dy  0.9197  0.0803  0.5302
Tm  0.2571  0.3780  0.2838
Tm  0.3780  0.2571  0.7838
Tm  0.6220  0.7429  0.2838
Tm  0.7429  0.6220  0.7838

Output
Calculated formation energy = 246.7 meV per atom
VASP energy = -4.534 eV/atom
Density = 8.51 g/cm3
V = 31.4 Å³ per atom



12.
The following is a PBE-GGA calculation of Eu2NbBiO6 after structural relaxation, from the Alexandria database.

abc: 6.0744 6.0744 6.0744
angles: 60.00 60.00 60.00
Sites, in units of the cell vectors:
Eu  0.2500  0.2500  0.2500
Eu  0.7500  0.7500  0.7500
Nb  0.0000  0.0000  0.0000
Bi  0.5000  0.5000  0.5000
O  0.2332  0.2332  0.7668
O  0.2332  0.7668  0.2332
O  0.2332  0.7668  0.7668
O  0.7668  0.2332  0.2332
O  0.7668  0.2332  0.7668
O  0.7668  0.7668  0.2332

Output
VASP energy = -8.679 eV/atom
Density = 7.35 g/cm3
V = 15.8 Å³ per atom
ΔE_f (raw) = -2.25 eV/atom